# 1
# VCdSn2

A relaxed structure of VCdSn2 (PBE-GGA, the Alexandria database).

Lattice parameters (Å, degrees): 6.397 6.397 6.397 103.13 103.13 123.08
Atoms (fractional coordinates):
1 V 0.000 0.000 0.000
2 V 0.750 0.250 0.500
3 Cd 0.250 0.750 0.500
4 Cd 0.500 0.500 0.000
5 Sn 0.109 0.625 0.984
6 Sn 0.375 0.359 0.484
7 Sn 0.641 0.125 0.016
8 Sn 0.875 0.891 0.516

Computed properties:
**Crystal system**: tetragonal
**Energy of formation from the pure elements**: 462 meV/atom
**DFT total energy**: -32.39 eV per cell
**Size of the total moment**: 5.58 μB per cell

=====

# 2
# VCd3Sn

A relaxed structure of VCd3Sn (PBE-GGA, the Alexandria database).

Lattice parameters (Å, degrees): 5.465 5.465 5.465 90.00 90.00 90.00
Atoms (fractional coordinates):
1 V 0.000 0.000 0.000
2 Cd 0.000 0.500 0.500
3 Cd 0.500 0.000 0.500
4 Cd 0.500 0.500 0.000
5 Sn 0.500 0.500 0.500

Computed properties:
**Crystal system**: cubic
**Energy of formation from the pure elements**: 1004 meV/atom
**DFT total energy**: -10.85 eV per cell
**Size of the total moment**: 4.56 μB per cell
**E above lowest polymorph**: 0.251 eV/atom

=====

# 3
# VCdSn2

A relaxed structure of VCdSn2 (PBE-GGA, the Alexandria database).

Lattice parameters (Å, degrees): 10.045 10.045 10.045 18.64 18.64 18.64
Atoms (fractional coordinates):
1 V 0.000 0.000 0.000
2 Cd 0.500 0.500 0.500
3 Sn 0.403 0.403 0.403
4 Sn 0.597 0.597 0.597

Computed properties:
**Crystal system**: trigonal
**Energy of formation from the pure elements**: 176 meV/atom
**DFT total energy**: -17.33 eV per cell
**Size of the total moment**: 1.15 μB per cell

=====

# 4
# VCd3Sn

A relaxed structure of VCd3Sn (PBE-GGA, the Alexandria database).

Lattice parameters (Å, degrees): 5.267 5.267 5.267 90.00 90.00 90.00
Atoms (fractional coordinates):
1 V 0.000 0.000 0.000
2 Cd 0.000 0.000 0.500
3 Cd 0.000 0.500 0.000
4 Cd 0.500 0.000 0.000
5 Sn 0.500 0.500 0.500

Computed properties:
**Crystal system**: cubic
**Energy of formation from the pure elements**: 753 meV/atom
**DFT total energy**: -12.10 eV per cell
**Size of the total moment**: 3.25 μB per cell
**E above lowest polymorph**: 0.000 eV/atom